Below is a geometry-optimized NpPd7Pt4 structure, with properties calculated at the PBE level.

Cell and atoms, written as POSCAR:
```
NpPd7Pt4
1.0
5.6891 0.0000 0.0000
-2.7991 5.6500 0.0000
-1.4129 -1.4506 6.0275
Np Pd Pt
1 7 4
direct
0.0000 0.0000 0.0000
0.0014 0.6654 0.6681
0.2493 0.5003 0.9991
0.2511 0.1699 0.6636
0.5000 0.0000 0.0000
0.7489 0.8301 0.3364
0.7507 0.4997 0.0009
0.9986 0.3346 0.3319
0.2506 0.8365 0.3327
0.4970 0.3317 0.3307
0.5030 0.6683 0.6693
0.7494 0.1635 0.6673
```

Summary:
- mass density (g/cm³) = 15.10
- formation energy (eV per atom) = -0.227